No. 1
Density functional theory data (SCAN) for ZrZn2Au at its PBEsol-relaxed geometry.

Unit cell a=3.1016 b=3.1016 c=6.8391 alpha=90.00 beta=90.00 gamma=90.00
Closest atoms and distances in Å follow each position.
Fractional coordinates of all 4 atoms:
1 Zn 0.0000 0.0000 0.0091  4 Zn 2.62, 4 Au 2.71
2 Zn 0.5000 0.5000 0.2200  4 Zn 2.62, 4 Zr 2.88
3 Au 0.5000 0.5000 0.7768  5 Zn 2.71-3.03, 4 Zr 2.92
4 Zr 0.0000 0.0000 0.4940  4 Zn 2.88, 4 Au 2.92, 4 Zr 3.10

Output
Total moment (μB per cell): 0.00
Energy of formation from the pure elements (meV per atom): -383
Space group: P4mm, No. 99
Raw total energy (Ry/atom): -2.35961
Crystal system: tetragonal

***

No. 2
Density functional theory data (SCAN) for AlPd3S at its PBEsol-relaxed geometry.

Unit cell a=4.4296 b=4.4296 c=4.4296 alpha=90.00 beta=90.00 gamma=90.00
Closest atoms and distances in Å follow each position.
Fractional coordinates of all 5 atoms:
1 S 0.0000 0.0000 0.0000  6 Pd 2.21
2 Al 0.5000 0.5000 0.5000  12 Pd 3.13
3 Pd 0.0000 0.5000 0.0000  2 S 2.21
4 Pd 0.0000 0.0000 0.5000  2 S 2.21
5 Pd 0.5000 0.0000 0.0000  2 S 2.21

Output
Total moment (μB per cell): 0.00
Formation energy from raw total energies (eV/atom): -0.039
Space group: Pm-3m, No. 221
Raw total energy (Ry/atom): -1.70369
Crystal system: cubic

***

No. 3
Density functional theory data (SCAN) for Tl2AgHg at its PBEsol-relaxed geometry.

Unit cell a=3.5558 b=4.7296 c=5.8984 alpha=90.00 beta=106.42 gamma=90.00
Closest atoms and distances in Å follow each position.
Fractional coordinates of all 4 atoms:
1 Tl 0.0343 0.0000 0.9483  3 Ag 2.96-3.26, 4 Hg 3.12-3.14
2 Tl 0.7234 0.5000 0.3119  3 Hg 3.08-3.15, 4 Ag 3.09-3.10
3 Hg 0.4464 0.5000 0.7677  2 Ag 2.90, 7 Tl 3.08-3.15
4 Ag 0.2960 0.0000 0.4721  2 Hg 2.90, 6 Tl 2.96-3.20

Output
Total moment (μB per cell): 0.00
Energy of formation from the pure elements (meV per atom): 81
Space group: Pm, No. 6
Energy relative to the lowest polymorph listed for this composition (eV/f.u.): 0.01
Raw total energy (Ry/atom): -4.48203
Crystal system: monoclinic

***

No. 4
Density functional theory data (SCAN) for KCd6P7O24 at its PBEsol-relaxed geometry.

Unit cell a=5.5173 b=6.8006 c=27.1733 alpha=90.00 beta=90.00 gamma=107.18
Closest atoms and distances in Å follow each position.
Fractional coordinates of all 76 atoms:
1 K 0.7131 0.6277 0.2500  4 O 2.72-2.95
2 K 0.2869 0.3723 0.7500  4 O 2.72-2.95
3 Cd 0.8924 0.7072 0.6830  6 O 2.21-2.42
4 Cd 0.8187 0.3130 0.5432  6 O 2.23-2.40
5 Cd 0.8187 0.3130 0.9568  6 O 2.23-2.40
6 Cd 0.1813 0.6870 0.4568  6 O 2.23-2.40
7 Cd 0.1076 0.2928 0.1830  6 O 2.21-2.42
8 Cd 0.1813 0.6870 0.0432  6 O 2.23-2.40
9 Cd 0.8924 0.7072 0.8170  6 O 2.21-2.42
10 Cd 0.1076 0.2928 0.3170  6 O 2.21-2.42
11 Cd 0.7827 0.9196 0.0989  6 O 2.23-2.36
12 Cd 0.2173 0.0804 0.5989  6 O 2.23-2.36
13 Cd 0.2173 0.0804 0.9011  6 O 2.23-2.36
14 Cd 0.7827 0.9196 0.4011  6 O 2.23-2.36
15 P 0.3270 0.6061 0.8904  4 O 1.50-1.61
16 P 0.6730 0.3939 0.3904  4 O 1.50-1.61
17 P 0.6730 0.3939 0.1096  4 O 1.50-1.61
18 P 0.3270 0.6061 0.6096  4 O 1.50-1.61
19 P 0.2406 0.8205 0.1693  4 O 1.51-1.66
20 P 0.7594 0.1795 0.6693  4 O 1.51-1.66
21 P 0.7594 0.1795 0.8307  4 O 1.51-1.66
22 P 0.2406 0.8205 0.3307  4 O 1.51-1.66
23 P 0.4737 0.8982 0.7500  4 O 1.52-1.59
24 P 0.5263 0.1018 0.2500  4 O 1.52-1.59
25 P 0.7127 0.7906 0.9749  4 O 1.53-1.60
26 P 0.2873 0.2094 0.0251  4 O 1.53-1.60
27 P 0.7127 0.7906 0.5251  4 O 1.53-1.60
28 P 0.2873 0.2094 0.4749  4 O 1.53-1.60
29 O 0.8688 0.6385 0.9795  1 P 1.53
30 O 0.1312 0.3615 0.4795  1 P 1.53
31 O 0.1312 0.3615 0.0205  1 P 1.53
32 O 0.8688 0.6385 0.5205  1 P 1.53
33 O 0.5888 0.8243 0.0235  1 P 1.54
34 O 0.4112 0.1757 0.5235  1 P 1.54
35 O 0.4112 0.1757 0.9765  1 P 1.54
36 O 0.5888 0.8243 0.4765  1 P 1.54
37 O 0.8670 0.9921 0.9512  1 P 1.53
38 O 0.1330 0.0079 0.4512  1 P 1.53
39 O 0.1330 0.0079 0.0488  1 P 1.53
40 O 0.8670 0.9921 0.5488  1 P 1.53
41 O 0.4706 0.6888 0.9411  2 P 1.60-1.61
42 O 0.5294 0.3112 0.4411  2 P 1.60-1.61
43 O 0.1484 0.3933 0.9037  1 P 1.53
44 O 0.4706 0.6888 0.5589  2 P 1.60-1.61
45 O 0.8058 0.2221 0.2500  1 P 1.52
46 O 0.1942 0.7779 0.7500  1 P 1.52
47 O 0.3416 0.2287 0.2500  1 P 1.52
48 O 0.5294 0.3112 0.0589  2 P 1.60-1.61
49 O 0.4830 0.9531 0.2962  2 P 1.59-1.66
50 O 0.5170 0.0469 0.7962  2 P 1.59-1.66
51 O 0.5170 0.0469 0.7038  2 P 1.59-1.66
52 O 0.4830 0.9531 0.2038  2 P 1.59-1.66
53 O 0.5095 0.5956 0.8501  1 P 1.50
54 O 0.4905 0.4044 0.3501  1 P 1.50
55 O 0.4905 0.4044 0.1499  1 P 1.50
56 O 0.5095 0.5956 0.6499  1 P 1.50
57 O 0.0557 0.9509 0.3329  1 P 1.54
58 O 0.9443 0.0491 0.8329  1 P 1.54
59 O 0.9443 0.0491 0.6671  1 P 1.54
60 O 0.0557 0.9509 0.1671  1 P 1.54
61 O 0.3751 0.8052 0.3790  1 P 1.52
62 O 0.6249 0.1948 0.8790  1 P 1.52
63 O 0.6249 0.1948 0.6210  1 P 1.52
64 O 0.3751 0.8052 0.1210  1 P 1.52
65 O 0.1273 0.6199 0.3036  1 P 1.51
66 O 0.8727 0.3801 0.8036  1 P 1.51
67 O 0.8727 0.3801 0.6964  1 P 1.51
68 O 0.1273 0.6199 0.1964  1 P 1.51
69 O 0.1715 0.7558 0.8793  1 P 1.54
70 O 0.8285 0.2442 0.3793  1 P 1.54
71 O 0.8285 0.2442 0.1207  1 P 1.54
72 O 0.1715 0.7558 0.6207  1 P 1.54
73 O 0.1484 0.3933 0.5963  1 P 1.53
74 O 0.8516 0.6067 0.0963  1 P 1.53
75 O 0.8516 0.6067 0.4037  1 P 1.53
76 O 0.6584 0.7713 0.7500  1 P 1.52

Output
Total moment (μB per cell): 0.00
Formation energy from raw total energies (eV/atom): -2.215
Space group: P2_1/m, No. 11
Raw total energy (Ry/atom): -0.96188
Crystal system: monoclinic

***

No. 5
Density functional theory data (SCAN) for RbTaSb2Pt at its PBEsol-relaxed geometry.

Unit cell a=5.1607 b=5.1607 c=5.4628 alpha=90.00 beta=90.00 gamma=90.00
Closest atoms and distances in Å follow each position.
Fractional coordinates of all 5 atoms:
1 Sb 0.0000 0.5000 0.0000  2 Pt 2.58
2 Sb 0.5000 0.0000 0.0000  2 Pt 2.58
3 Rb 0.0000 0.0000 0.5000  2 Pt 2.73
4 Pt 0.0000 0.0000 0.0000  4 Sb 2.58, 2 Rb 2.73
5 Ta 0.5000 0.5000 0.5000  4 Rb 3.65, 8 Sb 3.76

Output
Total moment (μB per cell): 2.99
Formation energy from raw total energies (eV/atom): 1.109
Space group: P4/mmm, No. 123
Raw total energy (Ry/atom): -3.32934
Crystal system: tetragonal

***

No. 6
Density functional theory data (SCAN) for IrRh2 at its PBEsol-relaxed geometry.

Unit cell a=3.7925 b=5.3646 c=8.0465 alpha=90.00 beta=90.00 gamma=90.00
Closest atoms and distances in Å follow each position.
Fractional coordinates of all 12 atoms:
1 Ir 0.7500 0.8749 0.0815  10 Rh 2.65-2.69, 2 Ir 2.67
2 Ir 0.2500 0.6251 0.5815  10 Rh 2.65-2.69, 2 Ir 2.67
3 Ir 0.7500 0.3749 0.4185  10 Rh 2.65-2.69, 2 Ir 2.67
4 Ir 0.2500 0.1251 0.9185  10 Rh 2.65-2.69, 2 Ir 2.67
5 Rh 0.7500 0.8744 0.7517  5 Ir 2.65-2.69, 7 Rh 2.67-2.70
6 Rh 0.7500 0.8752 0.4164  7 Rh 2.67-2.70, 5 Ir 2.68-2.69
7 Rh 0.2500 0.6248 0.9164  7 Rh 2.67-2.70, 5 Ir 2.68-2.69
8 Rh 0.2500 0.6256 0.2517  5 Ir 2.65-2.69, 7 Rh 2.67-2.70
9 Rh 0.7500 0.3744 0.7483  5 Ir 2.65-2.69, 7 Rh 2.67-2.70
10 Rh 0.7500 0.3752 0.0836  7 Rh 2.67-2.70, 5 Ir 2.68-2.69
11 Rh 0.2500 0.1248 0.5836  7 Rh 2.67-2.70, 5 Ir 2.68-2.69
12 Rh 0.2500 0.1256 0.2483  5 Ir 2.65-2.69, 7 Rh 2.67-2.70

Output
Total moment (μB per cell): 0.00
Energy of formation from the pure elements (meV per atom): -26
Space group: Pnma, No. 62
Energy relative to the lowest polymorph listed for this composition (eV/f.u.): 0.02
Raw total energy (Ry/atom): -3.39856
Crystal system: orthorhombic